Record 1
DFT (PBE) results for an optimized crystal structure of YPuGa2Au5.

Geometry as POSCAR:
```
YPuGa2Au5
1.0
4.4181 0.0000 0.0000
0.0000 4.4181 0.0000
0.0000 0.0000 9.5723
Y Pu Ga Au
1 1 2 5
direct
0.0000 0.0000 0.0000
0.0000 0.0000 0.5000
0.5000 0.5000 0.1269
0.5000 0.5000 0.8731
0.0000 0.5000 0.2677
0.5000 0.0000 0.2677
0.0000 0.5000 0.7323
0.5000 0.0000 0.7323
0.5000 0.5000 0.5000
```

Final energy in eV/f.u.: -46.849
DFT formation energy in eV/atom: -0.401
Symmetry: No. 123
Crystal system: tetragonal
Total magnetic moment in μB per cell: 5.7

Record 2
DFT (PBE) results for an optimized crystal structure of Rb2NaCu2Br7.

Geometry as POSCAR:
```
Rb2NaCu2Br7
1.0
5.2019 -0.0035 0.0119
0.0028 5.2019 0.0119
2.5668 2.5637 13.3908
Rb Na Cu Br
2 1 2 7
direct
0.8223 0.8223 0.3560
0.1777 0.1777 0.6440
0.0000 0.0000 0.0000
0.5946 0.5946 0.8095
0.4054 0.4054 0.1905
0.5000 0.5000 0.0000
0.3105 0.3105 0.3797
0.6895 0.6895 0.6203
0.9135 0.4134 0.1738
0.4134 0.9135 0.1738
0.5866 0.0865 0.8262
0.0865 0.5866 0.8262
```

Final energy in eV/f.u.: -34.417
Symmetry: No. 139
Crystal system: tetragonal
E_form (uncorrected) in eV/atom: -0.938
Total magnetic moment in μB per cell: 0.0

Record 3
DFT (PBE) results for an optimized crystal structure of ZnGa3Au3.

Geometry as POSCAR:
```
ZnGa3Au3
1.0
0.1711 5.4036 4.2903
-5.8729 0.6415 3.5684
0.7557 -1.9560 6.5756
Zn Ga Au
2 6 6
direct
0.3339 0.3339 0.3339
0.6661 0.6661 0.6661
0.7987 0.4249 0.1207
0.1207 0.7987 0.4249
0.4249 0.1207 0.7987
0.5751 0.8793 0.2013
0.8793 0.2013 0.5751
0.2013 0.5751 0.8793
0.6100 0.2774 0.9459
0.2774 0.9459 0.6100
0.9459 0.6100 0.2774
0.0541 0.3900 0.7226
0.7226 0.0541 0.3900
0.3900 0.7226 0.0541
```

Final energy in eV/f.u.: -21.506
DFT formation energy in eV/atom: -0.188
Symmetry: No. 148
Crystal system: trigonal
Total magnetic moment in μB per cell: 0.0

Record 4
DFT (PBE) results for an optimized crystal structure of Tm2ScPd2.

Geometry as POSCAR:
```
Tm2ScPd2
1.0
4.0848 0.0000 0.0000
2.0424 5.3781 0.1337
2.0424 1.5690 5.1458
Tm Sc Pd
2 1 2
direct
0.1992 0.3008 0.3008
0.8008 0.6992 0.6992
0.0000 0.0000 0.0000
0.5000 0.2795 0.7205
0.5000 0.7205 0.2795
```

Final energy in eV/f.u.: -29.216
DFT formation energy in eV/atom: -0.711
Symmetry: No. 71
Crystal system: orthorhombic
Total magnetic moment in μB per cell: 0.0